Run one
{
  "formula": "BeTl2B",
  "functional": "PBE-GGA",
  "state": "optimized geometry",
  "lattice_angstrom": [[0.000, 3.367, 3.367], [3.367, 0.000, 3.367], [3.367, 3.367, 0.000]],
  "species": ["Tl", "B", "Tl", "Be"],
  "frac_coords": [[0.250, 0.250, 0.250], [0.500, 0.500, 0.500], [0.750, 0.750, 0.750], [0.000, 0.000, 0.000]],
  "spacegroup": "Fm-3m",
  "m_tot_mub_per_cell": 0.00
}

=====

Run two
{
  "formula": "BeTl2B",
  "functional": "PBE-GGA",
  "state": "optimized geometry",
  "lattice_angstrom": [[6.333, 0.000, 0.000], [0.000, 6.333, 0.000], [3.167, 3.167, 4.182]],
  "species": ["Be", "B", "B", "Tl", "Tl", "Tl", "Tl", "Be"],
  "frac_coords": [[0.500, 0.500, 0.000], [0.000, 0.000, 0.000], [0.750, 0.250, 0.500], [0.648, 0.125, 0.250], [0.875, 0.898, 0.750], [0.102, 0.625, 0.250], [0.375, 0.352, 0.750], [0.250, 0.750, 0.500]],
  "spacegroup": "I-42d",
  "m_tot_mub_per_cell": 0.00
}

=====

Energy above the most stable structure, in meV/atom: run one 131; run two 0

=====

Run one
{
  "formula": "BeTlB2",
  "functional": "PBE-GGA",
  "state": "optimized geometry",
  "lattice_angstrom": [[0.000, 2.985, 2.985], [2.985, 0.000, 2.985], [2.985, 2.985, 0.000]],
  "species": ["Tl", "Be", "B", "B"],
  "frac_coords": [[0.500, 0.500, 0.500], [0.000, 0.000, 0.000], [0.750, 0.750, 0.750], [0.250, 0.250, 0.250]],
  "spacegroup": "Fm-3m",
  "m_tot_mub_per_cell": 0.00
}

=====

Run two
{
  "formula": "BeTlB2",
  "functional": "PBE-GGA",
  "state": "optimized geometry",
  "lattice_angstrom": [[3.777, 0.000, 0.000], [0.000, 3.777, 0.000], [1.888, 1.888, 6.782]],
  "species": ["Tl", "B", "Be", "B", "B", "Tl", "B", "Be"],
  "frac_coords": [[0.000, 0.000, 0.000], [0.375, 0.573, 0.750], [0.500, 0.500, 0.000], [0.323, 0.625, 0.250], [0.875, 0.677, 0.750], [0.750, 0.250, 0.500], [0.427, 0.125, 0.250], [0.250, 0.750, 0.500]],
  "spacegroup": "I-42d",
  "m_tot_mub_per_cell": 0.00
}

=====

Energy above the most stable structure, in meV/atom: run one 1005; run two 0